# AcTbNi2 GGA-PBE optimized geometry
data_AcTbNi2
_chemical_formula_sum 'Ac1 Tb1 Ni2'
_cell_length_a 3.5535
_cell_length_b 3.5535
_cell_length_c 6.9981
_cell_angle_alpha 90.00
_cell_angle_beta 90.00
_cell_angle_gamma 90.00
_symmetry_space_group_name_H-M 'P 1'
_symmetry_Int_Tables_number 1
loop_
_symmetry_equiv_pos_as_xyz
'x,y,z'
loop_
_atom_site_label
_atom_site_fract_x
_atom_site_fract_y
_atom_site_fract_z
_atom_site_occupancy
Ac1 0.0000 0.0000 0.0000 1
Tb1 0.0000 0.0000 0.5000 1
Ni1 0.5000 0.5000 0.2875 1
Ni2 0.5000 0.5000 0.7125 1
# Energy of formation from the pure elements in meV per atom: -223
# Volume in Å³ per cell: 88.4
# Magnetic moment in Bohr magnetons per cell: 0.00
# Relative energy among the computed polymorphs in meV per atom: 92